{
  "formula": "Li12H2O5",
  "functional": "PBE",
  "state": "optimized geometry",
  "cell": [[5.120, 0.000, 0.000], [-2.560, 5.103, -1.605], [0.000, 0.022, 6.481]],
  "species": ["O", "H", "O", "Li", "Li", "O", "Li", "Li", "Li", "Li", "Li", "H", "Li", "O", "Li", "Li", "Li", "O", "Li"],
  "fractional_positions": [[0.691, 0.381, 0.845], [0.233, 0.000, 0.000], [0.309, 0.619, 0.155], [0.006, 0.013, 0.785], [0.496, 0.993, 0.210], [0.683, 0.366, 0.347], [0.462, 0.365, 0.103], [0.538, 0.635, 0.897], [0.093, 0.684, 0.433], [0.902, 0.365, 0.103], [0.907, 0.316, 0.567], [0.767, 0.000, 0.000], [0.409, 0.316, 0.567], [0.000, 0.000, 0.500], [0.994, 0.987, 0.215], [0.504, 0.007, 0.790], [0.591, 0.684, 0.433], [0.317, 0.634, 0.653], [0.098, 0.635, 0.897]],
  "space_group": "C2/m",
  "dft_energy_ev_per_atom": -4.315,
  "magnetic_moment_mub_per_atom": 0.00,
  "n_ef_per_ev_cell": 0.00
}

***

{
  "formula": "CeHgPd14",
  "functional": "PBE",
  "state": "optimized geometry",
  "cell": [[-1.109, -4.331, 3.601], [5.632, -0.923, 0.625], [0.148, 5.048, 6.117]],
  "species": ["Pd", "Pd", "Pd", "Pd", "Pd", "Pd", "Pd", "Ce", "Pd", "Hg", "Pd", "Pd", "Pd", "Pd", "Pd", "Pd"],
  "fractional_positions": [[0.124, 0.124, 0.244], [0.375, 0.875, 0.000], [0.375, 0.875, 0.500], [0.875, 0.875, 0.000], [0.626, 0.124, 0.244], [0.626, 0.626, 0.756], [0.375, 0.375, 0.000], [0.875, 0.875, 0.500], [0.626, 0.124, 0.756], [0.375, 0.375, 0.500], [0.124, 0.626, 0.244], [0.875, 0.375, 0.500], [0.875, 0.375, 0.000], [0.124, 0.124, 0.756], [0.124, 0.626, 0.756], [0.626, 0.626, 0.244]],
  "space_group": "P4/mmm",
  "delta_e_f_mev_per_atom": -243,
  "dft_energy_ev_per_atom": -5.176,
  "magnetic_moment_mub_per_atom": 0.00,
  "n_ef_per_ev_cell": 25.53
}

***

{
  "formula": "KCuHg2",
  "functional": "PBE",
  "state": "optimized geometry",
  "cell": [[-2.189, -2.762, 4.686], [-4.125, -2.450, -3.371], [1.983, -9.210, -0.834]],
  "species": ["Cu", "Hg", "K", "Cu", "Hg", "Hg", "K", "Hg"],
  "fractional_positions": [[0.750, 0.250, 0.500], [0.923, 0.625, 0.250], [0.250, 0.750, 0.500], [0.000, 0.000, 0.000], [0.827, 0.125, 0.250], [0.875, 0.077, 0.750], [0.500, 0.500, 0.000], [0.375, 0.173, 0.750]],
  "space_group": "I-42d",
  "delta_e_f_mev_per_atom": 45,
  "dft_energy_ev_per_atom": -1.404,
  "polymorph_energy_ev_per_atom": 0.123,
  "magnetic_moment_mub_per_atom": 0.00,
  "n_ef_per_ev_cell": 0.53
}

***

{
  "formula": "Rb6BrCl4",
  "functional": "PBE",
  "state": "optimized geometry",
  "cell": [[4.751, 0.000, 0.000], [-2.375, 8.003, 0.000], [0.000, 0.000, 24.928]],
  "species": ["Rb", "Rb", "Rb", "Cl", "Rb", "Cl", "Rb", "Cl", "Rb", "Br", "Rb", "Rb", "Rb", "Rb", "Cl", "Cl", "Rb", "Cl", "Cl", "Br", "Rb", "Cl"],
  "fractional_positions": [[0.774, 0.549, 0.421], [0.689, 0.378, 0.750], [0.035, 0.069, 0.337], [0.864, 0.728, 0.956], [0.774, 0.549, 0.079], [0.596, 0.192, 0.618], [0.226, 0.451, 0.921], [0.136, 0.272, 0.456], [0.035, 0.069, 0.163], [0.365, 0.729, 0.750], [0.226, 0.451, 0.579], [0.965, 0.931, 0.837], [0.500, 0.000, 0.500], [0.500, 0.000, 0.000], [0.404, 0.808, 0.118], [0.864, 0.728, 0.544], [0.311, 0.622, 0.250], [0.136, 0.272, 0.044], [0.404, 0.808, 0.382], [0.635, 0.271, 0.250], [0.965, 0.931, 0.663], [0.596, 0.192, 0.882]],
  "space_group": "Cmcm",
  "dft_energy_ev_per_atom": -3.024,
  "raw_formation_energy_ev_per_atom": -1.67,
  "magnetic_moment_mub_per_atom": 0.00,
  "n_ef_per_ev_cell": 3.09
}

***

{
  "formula": "AlVZn3",
  "functional": "PBE",
  "state": "optimized geometry",
  "cell": [[-4.074, 2.318, -0.501], [-0.726, -2.167, -4.123], [-2.258, -3.486, 2.230]],
  "species": ["Al", "Zn", "Zn", "V", "Zn"],
  "fractional_positions": [[0.000, 0.000, 0.000], [0.500, 0.000, 0.000], [0.000, 0.500, 0.000], [0.500, 0.500, 0.500], [0.000, 0.000, 0.500]],
  "space_group": "Pm-3m",
  "delta_e_f_mev_per_atom": 870,
  "dft_energy_ev_per_atom": -2.466,
  "polymorph_energy_ev_per_atom": 0.000,
  "magnetic_moment_mub_per_atom": 0.72,
  "n_ef_per_ev_cell": 5.25
}

***

{
  "formula": "BaZnSiMo2",
  "functional": "PBE",
  "state": "optimized geometry",
  "cell": [[-4.231, -2.082, -2.188], [2.747, -4.556, -0.976], [-1.467, -1.875, 4.621]],
  "species": ["Zn", "Mo", "Si", "Mo", "Ba"],
  "fractional_positions": [[0.500, 0.500, 0.500], [0.000, 0.000, 0.500], [0.000, 0.500, 0.000], [0.500, 0.000, 0.000], [0.000, 0.000, 0.000]],
  "space_group": "P4/mmm",
  "dft_energy_ev_per_atom": -3.247,
  "raw_formation_energy_ev_per_atom": 2.81,
  "magnetic_moment_mub_per_atom": 0.83,
  "n_ef_per_ev_cell": 4.09
}

***

{
  "formula": "LaScZn",
  "functional": "PBE",
  "state": "optimized geometry",
  "cell": [[-4.531, 0.683, 3.910], [-2.959, -3.902, 0.332], [5.915, -1.196, 2.375]],
  "species": ["La", "Sc", "La", "Sc", "Zn", "Zn"],
  "fractional_positions": [[0.644, 0.654, 0.439], [0.685, 0.928, 0.028], [0.097, 0.016, 0.617], [0.118, 0.289, 0.183], [0.542, 0.360, 0.748], [0.192, 0.640, 0.959]],
  "space_group": "Cm",
  "delta_e_f_mev_per_atom": -150,
  "dft_energy_ev_per_atom": -4.328,
  "polymorph_energy_ev_per_atom": 0.054,
  "magnetic_moment_mub_per_atom": 0.00,
  "n_ef_per_ev_cell": 5.07
}

***

{
  "formula": "Nd8Ir3PdBr4",
  "functional": "PBE",
  "state": "optimized geometry",
  "cell": [[-3.133, -6.271, 4.561], [6.789, -5.464, -2.849], [2.173, 7.180, 3.697]],
  "species": ["Nd", "Nd", "Ir", "Nd", "Br", "Nd", "Nd", "Ir", "Br", "Nd", "Nd", "Pd", "Nd", "Ir", "Br", "Br"],
  "fractional_positions": [[0.268, 0.304, 0.536], [0.732, 0.696, 0.464], [0.500, 0.500, 0.000], [0.237, 0.696, 0.960], [0.000, 0.000, 0.000], [0.277, 0.304, 0.040], [0.763, 0.304, 0.527], [0.000, 0.500, 0.500], [0.500, 0.000, 0.000], [0.237, 0.696, 0.473], [0.763, 0.304, 0.040], [0.000, 0.500, 0.000], [0.723, 0.696, 0.960], [0.500, 0.500, 0.500], [0.000, 0.000, 0.500], [0.500, 0.000, 0.500]],
  "space_group": "R-3m",
  "dft_energy_ev_per_atom": -5.874,
  "raw_formation_energy_ev_per_atom": -1.09,
  "magnetic_moment_mub_per_atom": 0.00,
  "n_ef_per_ev_cell": 6.48
}